DFT (PBEsol) results for crystalline Li2AsAu at its relaxed geometry.

Output
Crystal system: tetragonal
Symmetry: P4/mmm (123)
E_form (kJ/mol of formula units): -193

a = 2.840 Å, b = 2.840 Å, c = 7.417 Å
α = 90.00°, β = 90.00°, γ = 90.00°
Fractional coordinates of all 4 atoms:
Au1 0.500 0.500 0.500
Li1 0.000 0.000 0.752
Li2 0.000 0.000 0.248
As1 0.500 0.500 0.000

DFT (PBEsol) results for crystalline La3Tl at its relaxed geometry.

Output
Crystal system: orthorhombic
Symmetry: Pmmn (59)
E_form (kJ/mol of formula units): -101

a = 6.169 Å, b = 6.922 Å, c = 17.107 Å
α = 90.00°, β = 90.00°, γ = 90.00°
Fractional coordinates of all 24 atoms:
La1 0.162 0.500 0.828
La2 0.025 0.752 0.500
La3 0.340 0.251 0.665
La4 0.975 0.252 0.000
La5 0.975 0.748 0.000
La6 0.660 0.249 0.835
Tl1 0.158 0.000 0.832
La7 0.660 0.249 0.165
La8 0.340 0.749 0.665
La9 0.555 0.500 0.500
La10 0.445 0.000 0.000
Tl2 0.520 0.000 0.500
La11 0.162 0.500 0.172
Tl3 0.480 0.500 0.000
La12 0.838 0.000 0.672
La13 0.660 0.751 0.835
Tl4 0.158 0.000 0.168
La14 0.340 0.251 0.335
La15 0.340 0.749 0.335
La16 0.838 0.000 0.328
La17 0.025 0.248 0.500
La18 0.660 0.751 0.165
Tl5 0.842 0.500 0.332
Tl6 0.842 0.500 0.668

DFT (PBEsol) results for crystalline BaTe5 at its relaxed geometry.

Output
Crystal system: tetragonal
Symmetry: P4/mmm (123)
Raw formation energy (eV/atom): -0.3134

a = 4.417 Å, b = 4.417 Å, c = 10.314 Å
α = 90.00°, β = 90.00°, γ = 90.00°
Fractional coordinates of all 6 atoms:
Te1 0.000 0.000 0.140
Te2 0.500 0.500 0.368
Te3 0.000 0.000 0.500
Ba1 0.500 0.500 0.000
Te4 0.000 0.000 0.860
Te5 0.500 0.500 0.632

DFT (PBEsol) results for crystalline Bi3PdPt at its relaxed geometry.

Output
Crystal system: cubic
Symmetry: Pm-3m (221)
E_form (kJ/mol of formula units): 293

a = 5.298 Å, b = 5.298 Å, c = 5.298 Å
α = 90.00°, β = 90.00°, γ = 90.00°
Fractional coordinates of all 5 atoms:
Bi1 0.500 0.000 0.000
Pt1 0.000 0.000 0.000
Bi2 0.000 0.000 0.500
Pd1 0.500 0.500 0.500
Bi3 0.000 0.500 0.000

DFT (PBEsol) results for crystalline LiTiAl2Cl at its relaxed geometry.

Output
Crystal system: tetragonal
Symmetry: P4/mmm (123)
Raw formation energy (eV/atom): 0.5479

a = 4.373 Å, b = 4.373 Å, c = 4.917 Å
α = 90.00°, β = 90.00°, γ = 90.00°
Last column: magnetic moment on the atom in μB.
Fractional coordinates of all 5 atoms:
Ti1 0.000 0.000 0.500  1.22
Li1 0.000 0.000 0.000  0.00
Al1 0.500 0.000 0.000  -0.01
Cl1 0.500 0.500 0.500  0.01
Al2 0.000 0.500 0.000  -0.01

DFT (PBEsol) results for crystalline AlRe2W at its relaxed geometry.

Output
Crystal system: tetragonal
Symmetry: P4/mmm (123)
E_form (kJ/mol of formula units): -40

a = 3.102 Å, b = 3.102 Å, c = 6.064 Å
α = 90.00°, β = 90.00°, γ = 90.00°
Fractional coordinates of all 4 atoms:
Al1 0.500 0.500 0.500
Re1 0.000 0.000 0.253
Re2 0.000 0.000 0.747
W1 0.500 0.500 0.000

DFT (PBEsol) results for crystalline Tl2CdHg2 at its relaxed geometry.

Output
Crystal system: tetragonal
Symmetry: P4/mbm (127)
E_form (kJ/mol of formula units): 45

a = 3.513 Å, b = 8.729 Å, c = 8.729 Å
α = 90.00°, β = 90.00°, γ = 90.00°
Fractional coordinates of all 10 atoms:
Hg1 0.500 0.137 0.637
Tl1 0.000 0.338 0.838
Cd1 0.000 0.000 0.000
Hg2 0.500 0.863 0.363
Hg3 0.500 0.637 0.863
Cd2 0.000 0.500 0.500
Tl2 0.000 0.662 0.162
Tl3 0.000 0.162 0.338
Tl4 0.000 0.838 0.662
Hg4 0.500 0.363 0.137

DFT (PBEsol) results for crystalline YCr4Hg at its relaxed geometry.

Output
Crystal system: cubic
Symmetry: F-43m (216)
E_form (kJ/mol of formula units): 231

a = 5.015 Å, b = 5.015 Å, c = 5.015 Å
α = 60.00°, β = 60.00°, γ = 60.00°
Fractional coordinates of all 6 atoms:
Hg1 0.750 0.750 0.750
Cr1 0.376 0.376 0.873
Cr2 0.376 0.873 0.376
Cr3 0.873 0.376 0.376
Y1 0.000 0.000 0.000
Cr4 0.376 0.376 0.376

DFT (PBEsol) results for crystalline RbSi2Hg at its relaxed geometry.

Output
Crystal system: tetragonal
Symmetry: I4_1/amd (141)
Raw formation energy (eV/atom): 0.2870

a = 4.977 Å, b = 4.977 Å, c = 9.979 Å
α = 104.44°, β = 104.44°, γ = 90.00°
Fractional coordinates of all 8 atoms:
Hg1 0.000 0.000 0.000
Si1 0.625 0.875 0.750
Rb1 0.750 0.250 0.500
Rb2 0.500 0.500 0.000
Si2 0.125 0.875 0.250
Si3 0.125 0.375 0.250
Si4 0.125 0.875 0.750
Hg2 0.250 0.750 0.500

DFT (PBEsol) results for crystalline Ba2Mg at its relaxed geometry.

Output
Crystal system: trigonal
Symmetry: P-3m1 (164)
E_form (kJ/mol of formula units): 30

a = 4.135 Å, b = 4.135 Å, c = 9.417 Å
α = 90.00°, β = 90.00°, γ = 120.00°
Fractional coordinates of all 3 atoms:
Ba1 0.333 0.667 0.700
Ba2 0.667 0.333 0.300
Mg1 0.000 0.000 0.000

DFT (PBEsol) results for crystalline TeS4O14 at its relaxed geometry.

Output
Crystal system: triclinic
Symmetry: P1 (1)
Raw formation energy (eV/atom): -1.1405

a = 6.861 Å, b = 6.875 Å, c = 12.048 Å
α = 80.19°, β = 80.13°, γ = 78.29°
Fractional coordinates of all 38 atoms:
O1 0.382 0.096 0.906
S1 0.470 0.925 0.851
O2 0.208 0.588 0.557
O3 0.503 0.766 0.524
O4 0.740 0.420 0.436
O5 0.322 0.118 0.197
O6 0.110 0.324 0.699
S2 0.708 0.192 0.503
O7 0.911 0.352 0.246
S3 0.531 0.070 0.155
O8 0.849 0.054 0.425
S4 0.800 0.296 0.002
O9 0.888 0.671 0.308
O10 0.061 0.653 0.752
O11 0.428 0.723 0.932
S5 0.300 0.799 0.506
O12 0.114 0.370 0.393
O13 0.801 0.501 0.002
O14 0.408 0.466 0.719
O15 0.062 0.845 0.927
O16 0.247 0.838 0.393
O17 0.646 0.076 0.257
O18 0.679 0.881 0.809
O19 0.784 0.168 0.609
O20 0.159 0.946 0.579
O21 0.819 0.216 0.897
O22 0.940 0.151 0.078
O23 0.500 0.198 0.502
S6 0.213 0.490 0.688
O24 0.616 0.896 0.102
O25 0.182 0.775 0.108
Te1 0.944 0.055 0.250
S7 0.935 0.460 0.347
O26 0.199 0.494 0.001
O27 0.357 0.920 0.748
S8 0.200 0.699 0.002
Te2 0.061 0.944 0.752
O28 0.574 0.270 0.073

DFT (PBEsol) results for crystalline CsFeBi2Pt at its relaxed geometry.

Output
Crystal system: tetragonal
Symmetry: P4/mmm (123)
E_form (kJ/mol of formula units): 237

a = 5.022 Å, b = 5.518 Å, c = 5.518 Å
α = 90.00°, β = 90.00°, γ = 90.00°
Last column: magnetic moment on the atom in μB.
Fractional coordinates of all 5 atoms:
Pt1 0.000 0.000 0.000  0.13
Bi1 0.000 0.000 0.500  0.05
Fe1 0.500 0.000 0.000  3.24
Bi2 0.000 0.500 0.000  0.05
Cs1 0.500 0.500 0.500  0.01

Number 1: calculated total energy -3.7423 eV/atom, magnetic moment 0.00 μB/f.u.. Number 2: calculated total energy -4.9288 eV/atom, magnetic moment 0.00 μB/f.u.. Number 3: calculated total energy -3.6100 eV/atom, magnetic moment 0.00 μB/f.u.. Number 4: calculated total energy -4.5481 eV/atom, magnetic moment 0.00 μB/f.u.. Number 5: calculated total energy -3.5481 eV/atom, magnetic moment 1.54 μB/f.u.. Number 6: calculated total energy -11.2449 eV/atom, magnetic moment 0.00 μB/f.u.. Number 7: calculated total energy -1.4255 eV/atom, magnetic moment 0.00 μB/f.u.. Number 8: calculated total energy -7.6597 eV/atom, magnetic moment 0.00 μB/f.u.. Number 9: calculated total energy -2.9844 eV/atom, magnetic moment 0.00 μB/f.u.. Number 10: calculated total energy -1.9022 eV/atom, magnetic moment 0.00 μB/f.u.. Number 11: calculated total energy -6.1170 eV/atom, magnetic moment 0.00 μB/f.u.. Number 12: calculated total energy -4.5965 eV/atom, magnetic moment 3.69 μB/f.u..